# 1
A relaxed Pm5ErBi6 crystal. Source: Alexandria via LeMat-Bulk, functional PBE.

```
Pm5ErBi6
1.0
3.947 -6.839 0.000
3.947 6.839 0.000
-2.633 0.000 7.441
Pm Er Bi
5 1 6
Cartesian
0.000 0.000 0.000 Pm
2.631 4.571 3.720 Pm
3.947 2.312 0.000 Pm
3.947 -2.312 0.000 Pm
2.631 -4.571 3.720 Pm
2.631 0.000 3.720 Er
1.337 2.246 1.889 Bi
0.042 0.000 5.571 Bi
1.337 -2.246 1.889 Bi
3.924 2.246 5.552 Bi
5.220 0.000 1.870 Bi
3.924 -2.246 5.552 Bi
```

As for the energy of formation: -11.00 eV per formula unit.



# 2
A relaxed PS2N crystal. Source: Alexandria via LeMat-Bulk, functional PBE.

```
PS2N
1.0
5.872 0.000 0.000
0.000 5.872 0.000
0.000 0.000 5.872
P S N
4 8 4
Cartesian
0.000 0.000 0.000 P
0.000 2.936 2.936 P
2.936 0.000 2.936 P
2.936 2.936 0.000 P
1.468 1.468 1.468 S
1.468 1.468 4.404 S
1.468 4.404 1.468 S
1.468 4.404 4.404 S
4.404 1.468 1.468 S
4.404 1.468 4.404 S
4.404 4.404 1.468 S
4.404 4.404 4.404 S
0.000 0.000 2.936 N
0.000 2.936 0.000 N
2.936 0.000 0.000 N
2.936 2.936 2.936 N
```

For the uncorrected formation energy, the calculation gives 6.71 eV per formula unit.